Record 1
The following is a DFT calculation (GGA-PBE) of crystalline Ba2InBMo at its relaxed geometry.

POSCAR file:
```
Ba2InBMo
1.0
6.0865 0.0000 0.0000
0.0000 6.0865 0.0000
0.0000 0.0000 4.1594
Ba In B Mo
2 1 1 1
direct
0.0000 0.5000 0.0000
0.5000 0.0000 0.0000
0.0000 0.0000 0.5000
0.5000 0.5000 0.5000
0.5000 0.5000 0.0000
```

Properties
* DFT formation energy: 744 meV/atom

***

Record 2
The following is a DFT calculation (GGA-PBE) of crystalline Ba2InNiB at its relaxed geometry.

POSCAR file:
```
Ba2InNiB
1.0
6.1550 0.0000 0.0000
0.0000 6.1550 0.0000
0.0000 0.0000 3.8548
Ba In Ni B
2 1 1 1
direct
0.0000 0.5000 0.0000
0.5000 0.0000 0.0000
0.0000 0.0000 0.5000
0.5000 0.5000 0.5000
0.5000 0.5000 0.0000
```

Properties
* DFT formation energy: 51 meV/atom

***

Record 3
The following is a DFT calculation (GGA-PBE) of crystalline BaInBRu2 at its relaxed geometry.

POSCAR file:
```
BaInBRu2
1.0
4.9787 0.0000 0.0000
0.0000 4.9787 0.0000
0.0000 0.0000 6.2886
Ba In B Ru
1 1 1 2
direct
0.0000 0.0000 0.0000
0.0000 0.0000 0.5000
0.5000 0.5000 0.0000
0.0000 0.5000 0.5000
0.5000 0.0000 0.5000
```

Properties
* DFT formation energy: 2108 meV/atom

***

Record 4
The following is a DFT calculation (GGA-PBE) of crystalline Ba2InBRu at its relaxed geometry.

POSCAR file:
```
Ba2InBRu
1.0
6.4282 0.0000 0.0000
0.0000 6.4282 0.0000
0.0000 0.0000 4.9249
Ba In B Ru
2 1 1 1
direct
0.0000 0.5000 0.0000
0.5000 0.0000 0.0000
0.0000 0.0000 0.0000
0.5000 0.5000 0.5000
0.0000 0.0000 0.5000
```

Properties
* DFT formation energy: 1376 meV/atom

***

| no. | magnetization (Bohr magnetons per cell) |
| --- | --- |
| 1 | 0.6 |
| 2 | 0.0 |
| 3 | 1.8 |
| 4 | 0.0 |